A relaxed structure of La2MgIr, computed with PBE.

POSCAR file:
```
La2MgIr
1.0
5.088 0.000 0.000
0.021 5.088 0.000
-2.555 -2.544 3.591
Ir La Mg
1 2 1
direct
0.750 0.250 0.500
0.000 0.000 0.000
0.250 0.750 0.500
0.500 0.500 0.000
```

The calculation puts the calculated formation energy at -250 meV per atom. Its total energy is -5.328 eV/atom. As for the volume: 92.97 Å³/cell. The space group is No. 119.

***

A relaxed structure of Ba2Sb2Pt, computed with PBE.

POSCAR file:
```
Ba2Sb2Pt
1.0
-2.085 3.856 -1.179
-6.083 -1.451 -2.730
-7.734 1.361 9.397
Ba Sb Pt
4 4 2
direct
0.308 0.748 0.637
0.078 0.736 0.106
0.692 0.252 0.363
0.922 0.264 0.894
0.951 0.689 0.408
0.343 0.170 0.145
0.049 0.311 0.592
0.657 0.830 0.855
0.427 0.836 0.310
0.573 0.164 0.690
```

The calculation puts the polymorph energy (0 for the lowest one) at 0.000 eV/atom. The uncorrected formation energy comes out at -945.3 meV per atom. Its total energy is -4.572 eV/atom. As for the volume: 345.49 Å³/cell. The space group is No. 12.